(1)
Computed, not measured: a relaxed structure of TiZnSn at the GGA-PBE level of DFT.

Properties
The calculated formation energy comes out at -0.21 eV/atom. The uncorrected energy comes out at -4.602 eV per atom.

a b c (Å): 4.2051 4.0118 12.8586
angles (deg): 90.00 90.00 90.00
With the nearest neighbours (Å) after each atom.
Element x y z (fractional)
Zn (0.5000, 0.0000, 0.6207)  4 Sn 2.75-2.94, 2 Zn 2.87, 4 Ti 2.91
Zn (0.5000, 0.5000, 0.1207)  4 Sn 2.75-2.94, 2 Zn 2.87, 4 Ti 2.91
Zn (0.5000, 0.0000, 0.9606)  4 Ti 2.86-2.94, 2 Zn 2.87, 6 Sn 2.91-3.19
Zn (0.5000, 0.5000, 0.4606)  4 Ti 2.86-2.94, 2 Zn 2.87, 6 Sn 2.91-3.19
Sn (0.5000, 0.0000, 0.2673)  2 Zn 2.75, 6 Ti 2.91-2.94
Sn (0.5000, 0.5000, 0.7673)  2 Zn 2.75, 6 Ti 2.91-2.94
Sn (0.0000, 0.0000, 0.4612)  4 Ti 2.78-2.87, 6 Zn 2.91-2.94
Sn (0.0000, 0.5000, 0.9612)  4 Ti 2.78-2.87, 6 Zn 2.91-2.94
Ti (0.0000, 0.0000, 0.1110)  4 Sn 2.78-2.91, 6 Zn 2.86-2.91
Ti (0.0000, 0.5000, 0.6110)  4 Sn 2.78-2.91, 6 Zn 2.86-2.91
Ti (0.0000, 0.0000, 0.8011)  6 Sn 2.87-2.94, 4 Zn 2.94-3.13, 2 Ti 3.16
Ti (0.0000, 0.5000, 0.3011)  6 Sn 2.87-2.94, 4 Zn 2.94-3.13, 2 Ti 3.16


(2)
Computed, not measured: a relaxed structure of YFe2Pt at the GGA-PBE level of DFT.

Properties
The calculated formation energy comes out at 0.38 eV/atom. The uncorrected energy comes out at -6.978 eV per atom.

a b c (Å): 9.3340 9.3340 9.3340
angles (deg): 18.04 18.04 18.04
With the nearest neighbours (Å) after each atom.
Element x y z (fractional)
Fe (0.9923, 0.9923, 0.9923)  3 Pt 2.68, 6 Fe 2.93
Fe (0.5077, 0.5077, 0.5077)  3 Pt 2.68, 6 Fe 2.93
Pt (0.2500, 0.2500, 0.2500)  6 Fe 2.68, 6 Pt 2.93
Y (0.7500, 0.7500, 0.7500)  6 Y 2.93, 6 Fe 3.02


(3)
Computed, not measured: a relaxed structure of YMnOs at the GGA-PBE level of DFT.

Properties
The calculated formation energy comes out at 0.57 eV/atom. The uncorrected energy comes out at -8.386 eV per atom. The offset from the most stable computed form comes out at 0.767 eV/atom.

a b c (Å): 3.1164 3.1164 6.6707
angles (deg): 90.00 90.00 120.00
With the nearest neighbours (Å) after each atom.
Element x y z (fractional)
Mn (0.0000, 0.0000, 0.0396)  3 Os 2.53
Os (0.3333, 0.6667, 0.3070)  3 Mn 2.53
Y (0.6667, 0.3333, 0.6534)  3 Os 2.93, 6 Y 3.12, 3 Mn 3.14


(4)
Computed, not measured: a relaxed structure of CrAsOs at the GGA-PBE level of DFT.

Properties
The calculated formation energy comes out at 0.29 eV/atom. The uncorrected energy comes out at -8.210 eV per atom. The offset from the most stable computed form comes out at 0.169 eV/atom.

a b c (Å): 4.4514 4.4514 4.4514
angles (deg): 142.53 127.98 65.85
With the nearest neighbours (Å) after each atom.
Element x y z (fractional)
As (0.0018, 0.0018, 0.0000)  1 Cr 2.42, 1 Os 2.46
Cr (0.3261, 0.3261, 0.0000)  1 As 2.42, 5 Os 2.59-2.68
Os (0.6721, 0.6721, 0.0000)  5 As 2.46-2.73, 5 Cr 2.59-2.68


(5)
Computed, not measured: a relaxed structure of Pd4RuPt5 at the GGA-PBE level of DFT.

Properties
The calculated formation energy comes out at -0.03 eV/atom. The uncorrected energy comes out at -6.055 eV per atom.

a b c (Å): 2.7797 2.7797 19.8144
angles (deg): 90.00 90.00 90.00
With the nearest neighbours (Å) after each atom.
Element x y z (fractional)
Pd (0.0000, 0.0000, 0.1971)  4 Pd 2.78, 8 Pt 2.82-2.83
Pd (0.0000, 0.0000, 0.3995)  4 Pd 2.78, 8 Pt 2.80
Pd (0.0000, 0.0000, 0.6005)  4 Pd 2.78, 8 Pt 2.80
Pd (0.0000, 0.0000, 0.8029)  4 Pd 2.78, 8 Pt 2.82-2.83
Ru (0.0000, 0.0000, 0.0000)  8 Pt 2.72, 4 Ru 2.78
Pt (0.5000, 0.5000, 0.0946)  4 Ru 2.72, 4 Pt 2.78, 4 Pd 2.83
Pt (0.5000, 0.5000, 0.2988)  4 Pt 2.78, 8 Pd 2.80-2.82
Pt (0.5000, 0.5000, 0.5000)  4 Pt 2.78, 8 Pd 2.80
Pt (0.5000, 0.5000, 0.7012)  4 Pt 2.78, 8 Pd 2.80-2.82
Pt (0.5000, 0.5000, 0.9054)  4 Ru 2.72, 4 Pt 2.78, 4 Pd 2.83


(6)
Computed, not measured: a relaxed structure of Rb2GaPbI6 at the GGA-PBE level of DFT.

Properties
Its uncorrected formation energy is -82.4 kJ per mole of atoms. The uncorrected energy comes out at -2.651 eV per atom.

a b c (Å): 8.6675 8.6675 8.6460
angles (deg): 59.92 59.92 90.00
With the nearest neighbours (Å) after each atom.
Element x y z (fractional)
Pb (0.0000, 0.0000, 0.0000)  6 I 3.17-3.18
I (0.2597, 0.2597, 0.4806)  1 Ga 2.93, 1 Pb 3.17
I (0.7403, 0.7403, 0.5194)  1 Ga 2.93, 1 Pb 3.17
I (0.2590, 0.2590, 0.0000)  1 Ga 2.95, 1 Pb 3.18
I (0.7410, 0.7410, 0.0000)  1 Ga 2.95, 1 Pb 3.18
I (0.7410, 0.2590, 0.0000)  1 Ga 2.95, 1 Pb 3.18
I (0.2590, 0.7410, 0.0000)  1 Ga 2.95, 1 Pb 3.18
Ga (0.5000, 0.5000, 0.0000)  6 I 2.93-2.95
Rb (0.7500, 0.2500, 0.5000)  12 I 4.32-4.34
Rb (0.2500, 0.7500, 0.5000)  12 I 4.32-4.34